Entry from Alexandria: a relaxed structure of AlMoAs2 (PBE).

```
AlMoAs2
1.0
4.393 -1.554 0.000
4.393 1.554 0.000
-0.469 0.000 4.882
Al Mo As
1 1 2
direct
0.000 0.000 0.000 Al
0.500 0.500 0.500 Mo
0.225 0.225 0.728 As
0.775 0.775 0.272 As
```

Results
For the total energy, the calculation gives -23.712 eV/cell. As for the formation energy: 0.0402 eV per atom.

Entry from Alexandria: a relaxed structure of AlV3Pd (PBE).

```
AlV3Pd
1.0
4.419 0.000 0.000
0.000 4.419 0.000
0.000 0.000 4.419
Al V Pd
1 3 1
direct
0.000 0.000 0.000 Al
0.000 0.000 0.500 V
0.000 0.500 0.000 V
0.500 0.000 0.000 V
0.500 0.500 0.500 Pd
```

Results
For the total energy, the calculation gives -30.168 eV/cell. As for the formation energy: 1.2246 eV per atom.

Entry from Alexandria: a relaxed structure of AcTbGaOs (PBE).

```
AcTbGaOs
1.0
0.000 3.653 3.653
3.653 0.000 3.653
3.653 3.653 0.000
Ac Tb Ga Os
1 1 1 1
direct
0.000 0.000 0.000 Ac
0.500 0.500 0.500 Tb
0.250 0.250 0.250 Ga
0.750 0.750 0.750 Os
```

Results
For the total energy, the calculation gives -23.437 eV/cell. As for the formation energy: -0.1105 eV per atom.

Entry from Alexandria: a relaxed structure of KSr2SbS4 (PBE).

```
KSr2SbS4
1.0
-4.249 4.256 5.944
4.249 -4.256 5.944
4.249 4.256 -5.944
K Sr Sb S
2 4 2 8
direct
0.000 0.000 0.000 K
0.500 0.000 0.500 K
0.000 0.500 0.500 Sr
0.500 0.000 0.000 Sr
0.500 0.500 0.000 Sr
0.500 0.500 0.500 Sr
0.000 0.000 0.500 Sb
0.000 0.500 0.000 Sb
0.231 0.746 0.484 S
0.238 0.250 0.512 S
0.238 0.254 0.984 S
0.238 0.726 0.988 S
0.762 0.274 0.012 S
0.762 0.746 0.016 S
0.762 0.750 0.488 S
0.769 0.254 0.516 S
```

Results
For the total energy, the calculation gives -71.294 eV/cell. For the energy relative to the elements, uncorrected, the calculation gives -127 kJ per mole of atoms.

Entry from Alexandria: a relaxed structure of Er5S5N2 (PBE).

```
Er5S5N2
1.0
6.212 -1.865 0.000
6.212 1.865 0.000
-3.053 0.000 10.120
Er S N
5 5 2
direct
0.000 0.000 0.000 Er
0.100 0.100 0.381 Er
0.347 0.347 0.201 Er
0.653 0.653 0.799 Er
0.900 0.900 0.619 Er
0.251 0.251 0.641 S
0.337 0.337 0.937 S
0.500 0.500 0.500 S
0.663 0.663 0.063 S
0.749 0.749 0.359 S
0.043 0.043 0.797 N
0.957 0.957 0.203 N
```

Results
For the total energy, the calculation gives -81.862 eV/cell. For the energy relative to the elements, uncorrected, the calculation gives -175 kJ per mole of atoms.

Entry from Alexandria: a relaxed structure of TaTcHg (PBE).

```
TaTcHg
1.0
4.634 0.000 0.000
-2.317 4.013 0.000
0.000 0.000 2.840
Ta Tc Hg
1 1 1
direct
0.000 0.000 0.000 Ta
0.333 0.667 0.240 Tc
0.667 0.333 0.615 Hg
```

Results
For the total energy, the calculation gives -21.604 eV/cell. As for the formation energy: 0.3056 eV per atom.

Entry from Alexandria: a relaxed structure of KTlCd2W (PBE).

```
KTlCd2W
1.0
5.467 0.000 0.000
0.000 5.467 0.000
0.000 0.000 5.391
K Tl Cd W
1 1 2 1
direct
0.000 0.000 0.000 K
0.500 0.500 0.000 Tl
0.000 0.500 0.500 Cd
0.500 0.000 0.500 Cd
0.500 0.500 0.500 W
```

Results
For the total energy, the calculation gives -14.859 eV/cell. As for the formation energy: 0.6776 eV per atom.

Entry from Alexandria: a relaxed structure of Na7BrN12 (PBE).

```
Na7BrN12
1.0
6.301 3.638 2.654
-6.301 3.638 2.654
0.000 -7.275 2.654
Na Br N
7 1 12
direct
0.000 0.000 0.000 Na
0.222 0.708 0.280 Na
0.280 0.222 0.708 Na
0.292 0.720 0.778 Na
0.708 0.280 0.222 Na
0.720 0.778 0.292 Na
0.778 0.292 0.720 Na
0.500 0.500 0.500 Br
0.016 0.336 0.534 N
0.025 0.673 0.916 N
0.084 0.975 0.327 N
0.327 0.084 0.975 N
0.336 0.534 0.016 N
0.466 0.984 0.664 N
0.534 0.016 0.336 N
0.664 0.466 0.984 N
0.673 0.916 0.025 N
0.916 0.025 0.673 N
0.975 0.327 0.084 N
0.984 0.664 0.466 N
```

Results
For the total energy, the calculation gives -66.991 eV/cell. For the energy relative to the elements, uncorrected, the calculation gives 211 kJ per mole of atoms.

Entry from Alexandria: a relaxed structure of Pm9AlTl2 (PBE).

```
Pm9AlTl2
1.0
4.930 0.000 0.000
0.000 4.930 0.000
0.000 0.000 14.812
Pm Al Tl
9 1 2
direct
0.000 0.000 0.000 Pm
0.000 0.000 0.330 Pm
0.000 0.000 0.670 Pm
0.000 0.500 0.160 Pm
0.000 0.500 0.500 Pm
0.000 0.500 0.840 Pm
0.500 0.000 0.160 Pm
0.500 0.000 0.500 Pm
0.500 0.000 0.840 Pm
0.500 0.500 0.000 Al
0.500 0.500 0.332 Tl
0.500 0.500 0.668 Tl
```

Results
For the total energy, the calculation gives -53.523 eV/cell. As for the formation energy: -0.1910 eV per atom.

Entry from Alexandria: a relaxed structure of Tb3Pr2Ho6Pb (PBE).

```
Tb3Pr2Ho6Pb
1.0
3.056 -5.294 0.000
3.056 5.294 0.000
-2.047 0.000 11.587
Tb Pr Ho Pb
3 2 6 1
direct
0.000 0.000 0.000 Tb
0.332 0.668 0.000 Tb
0.668 0.332 0.000 Tb
0.166 0.834 0.500 Pr
0.834 0.166 0.500 Pr
0.090 0.417 0.249 Ho
0.257 0.257 0.752 Ho
0.417 0.090 0.249 Ho
0.583 0.910 0.751 Ho
0.743 0.743 0.248 Ho
0.910 0.583 0.751 Ho
0.500 0.500 0.500 Pb
```

Results
For the total energy, the calculation gives -55.455 eV/cell. As for the formation energy: -0.0692 eV per atom.

Entry from Alexandria: a relaxed structure of TlCd2CoSn (PBE).

```
TlCd2CoSn
1.0
5.116 0.000 0.000
0.000 5.116 0.000
0.000 0.000 4.813
Tl Cd Co Sn
1 2 1 1
direct
0.000 0.000 0.000 Tl
0.000 0.500 0.500 Cd
0.500 0.000 0.500 Cd
0.500 0.500 0.500 Co
0.500 0.500 0.000 Sn
```

Results
For the total energy, the calculation gives -14.736 eV/cell. As for the formation energy: 0.1139 eV per atom.

Entry from Alexandria: a relaxed structure of Na3HfCu (PBE).

```
Na3HfCu
1.0
6.135 0.000 0.000
0.000 6.135 0.000
0.000 0.000 6.135
Na Hf Cu
3 1 1
direct
0.000 0.000 0.500 Na
0.000 0.500 0.000 Na
0.500 0.000 0.000 Na
0.000 0.000 0.000 Hf
0.500 0.500 0.500 Cu
```

Results
For the total energy, the calculation gives -9.792 eV/cell. As for the formation energy: 1.6429 eV per atom.